Here is a relaxed La2CePr3Te6 crystal from Alexandria. Energies are from PBE.

Properties
Theoretical density ... 6700 kg/m³
Calculated total energy ... -133.58 eV/cell

```
data_La2CePr3Te6
_chemical_formula_sum 'La4 Ce2 Pr6 Te12'
_cell_length_a 19.774
_cell_length_b 4.530
_cell_length_c 9.124
_cell_angle_alpha 90.00
_cell_angle_beta 103.05
_cell_angle_gamma 90.00
_symmetry_space_group_name_H-M 'C 1 2/m 1'
_symmetry_Int_Tables_number 12
loop_
_symmetry_equiv_pos_as_xyz
'x,y,z'
'-x,-y,-z'
'-x,y,-z'
'x,-y,z'
'x+1/2,y+1/2,z'
'-x+1/2,-y+1/2,-z'
'-x+1/2,y+1/2,-z'
'x+1/2,-y+1/2,z'
loop_
_atom_site_label
_atom_site_fract_x
_atom_site_fract_y
_atom_site_fract_z
La1 0.166 0.000 0.332
Ce1 0.000 0.500 0.000
Pr1 0.000 0.500 0.500
Pr2 0.168 0.000 0.835
Te1 0.002 0.000 0.753
Te2 0.165 0.500 0.081
Te3 0.167 0.500 0.585
```